1.
76
Lattice="9.784 0.000 0.000 0.000 11.960 0.000 -0.354 0.000 20.462" Properties=species:S:1:pos:R:3 comment="Ti4S8Br6O | Alexandria via LeMat-Bulk | PBE | optimized geometry" e_form_raw_ev_per_atom=-1.159 space_group="No. 14" final_energy_ev_per_atom=-5.348 pbc="T T T"
Ti 0.182 2.414 7.023
Ti 0.005 3.566 17.254
Ti 0.932 2.589 20.105
Ti 1.109 3.391 9.874
Ti 2.647 0.686 7.950
Ti 2.470 5.294 18.181
Ti 3.316 2.260 18.071
Ti 3.493 3.720 7.839
Ti 5.938 8.240 12.623
Ti 6.115 9.700 2.392
Ti 6.961 6.666 2.281
Ti 6.784 11.274 12.512
Ti 8.322 8.569 10.588
Ti 8.499 9.372 0.357
Ti 9.426 8.395 3.208
Ti 9.249 9.546 13.439
S 0.272 0.033 7.425
S 0.095 5.947 17.656
S 0.295 7.666 11.967
S 0.471 10.274 1.736
S 0.881 8.353 1.132
S 0.704 9.587 11.363
S 1.465 0.590 5.852
S 1.288 5.390 16.083
S 2.042 0.555 19.435
S 2.219 5.425 9.204
S 3.309 1.812 20.447
S 3.486 4.168 10.216
S 4.327 1.718 6.559
S 4.150 4.262 16.790
S 4.789 7.806 1.685
S 4.612 10.135 11.916
S 4.818 1.825 8.547
S 4.642 4.155 18.778
S 5.280 7.698 3.673
S 5.104 10.242 13.904
S 5.945 7.793 10.246
S 6.122 10.148 0.015
S 7.212 6.535 11.259
S 7.389 11.405 1.028
S 8.142 6.570 4.379
S 7.966 11.370 14.610
S 8.727 2.373 9.099
S 8.550 3.607 19.330
S 8.959 1.686 18.726
S 9.136 4.294 8.495
S 9.336 6.013 2.806
S 9.159 11.927 13.038
Br 0.529 2.053 1.853
Br 0.352 3.928 12.085
Br 1.389 8.559 4.820
Br 1.212 9.381 15.051
Br 1.618 1.779 16.030
Br 1.795 4.201 5.799
Br 1.935 0.902 10.568
Br 2.112 5.078 0.337
Br 3.300 7.529 18.423
Br 3.477 10.412 8.191
Br 4.264 6.721 13.406
Br 4.441 11.219 3.175
Br 4.990 0.741 17.288
Br 5.167 5.239 7.057
Br 5.954 1.549 12.271
Br 6.131 4.432 2.040
Br 7.319 6.882 20.125
Br 7.495 11.058 9.894
Br 7.636 7.759 14.663
Br 7.813 10.181 4.432
Br 8.218 2.579 5.411
Br 8.042 3.401 15.642
Br 9.079 8.033 8.378
Br 8.902 9.908 18.609
O 1.862 2.548 8.185
O 1.685 3.432 18.417
O 7.746 8.528 2.046
O 7.569 9.412 12.277

---

2.
18
Lattice="7.573 0.000 0.000 -3.786 6.558 0.000 0.000 0.000 13.936" Properties=species:S:1:pos:R:3 comment="BaNaSmBr6 | Alexandria via LeMat-Bulk | PBE | optimized geometry" dos_at_fermi_per_ev_atom=0.00 e_form_raw_ev_per_atom=-1.902 space_group="No. 163" final_energy_ev_per_atom=-3.902 pbc="T T T"
Ba 0.000 0.000 0.000
Ba 0.000 0.000 6.968
Na 0.000 4.372 3.484
Na 3.786 2.186 10.452
Sm 0.000 4.372 10.452
Sm 3.786 2.186 3.484
Br -1.280 2.386 8.811
Br -2.360 4.257 12.092
Br 1.280 2.386 12.092
Br -1.081 6.473 8.811
Br 2.706 0.085 1.844
Br 1.426 2.301 5.124
Br 2.360 4.257 8.811
Br 1.081 6.473 12.092
Br 4.867 0.085 5.124
Br 2.507 4.173 1.844
Br 6.147 2.301 1.844
Br 5.066 4.173 5.124

---

3.
20
Lattice="-4.037 4.037 4.037 4.037 -4.037 4.037 4.037 4.037 -4.037" Properties=species:S:1:pos:R:3 comment="PmTl4Cu3O12 | Alexandria via LeMat-Bulk | PBE | optimized geometry" e_form_raw_ev_per_atom=-0.794 space_group="No. 204" final_energy_ev_per_atom=-5.094 pbc="T T T"
Pm 0.000 0.000 0.000
Tl 2.019 2.019 -2.019
Tl 2.019 -2.019 2.019
Tl -2.019 2.019 2.019
Tl 2.019 2.019 2.019
Cu 4.037 0.000 0.000
Cu 0.000 4.037 0.000
Cu 0.000 0.000 4.037
O 2.567 0.000 1.202
O 5.508 0.000 1.202
O 4.037 2.836 -1.471
O 1.202 2.567 0.000
O 2.836 -1.471 4.037
O 0.000 1.202 2.567
O 4.037 2.836 1.471
O 1.202 5.508 0.000
O 2.836 1.471 4.037
O 0.000 1.202 5.508
O -1.471 4.037 2.836
O 1.471 4.037 2.836

---

4.
8
Lattice="-3.784 3.784 3.062 3.784 -3.784 3.062 3.784 3.784 -3.062" Properties=species:S:1:pos:R:3 comment="LaHfCr2 | Alexandria via LeMat-Bulk | PBE | optimized geometry" dos_at_fermi_per_ev_atom=1.14 space_group="No. 122" formation_energy_ev_per_atom=0.8899 e_above_lowest_polymorph_kcal_per_mol_atoms=9.25 final_energy_ev_per_atom=-7.642 pbc="T T T"
La 0.000 0.000 0.000
La 0.000 3.784 1.531
Hf 3.784 0.000 1.531
Hf 0.000 0.000 3.062
Cr 1.892 -1.789 2.297
Cr 1.995 1.892 0.766
Cr 1.892 5.573 -0.766
Cr 1.789 1.892 3.828